! Sr2Nd4Sn3O2 (PBE-GGA, optimized geometry); values from VASP
! - density (g/cm3) = 5.96
! - formation energy from raw total energies (eV per atom) = -1.475
! - final energy (eV/cell) = -60.6
! - space-group type = I4/mmm
&SYSTEM
  ibrav = 0, nat = 11, ntyp = 4
/
ATOMIC_SPECIES
Sr 87.62 Sr.upf
Nd 144.24 Nd.upf
Sn 118.71 Sn.upf
O 16.00 O.upf
CELL_PARAMETERS angstrom
4.936 0.000 0.000
0.000 4.936 0.000
-2.468 -2.468 13.043
ATOMIC_POSITIONS angstrom
Sr 0.000 0.000 7.902
Sr 2.468 2.468 5.141
Nd 0.000 2.468 10.842
Nd 2.468 0.000 10.842
Nd 0.000 2.468 2.201
Nd 2.468 0.000 2.201
Sn 0.000 0.000 0.000
Sn 0.000 0.000 4.417
Sn 2.468 2.468 8.626
O 0.000 0.000 10.557
O 2.468 2.468 2.486

***

! Tb4Nd2Sn3O2 (PBE-GGA, optimized geometry); values from VASP
! - density (g/cm3) = 7.75
! - formation energy from raw total energies (eV per atom) = -1.533
! - final energy (eV/cell) = -66.8
! - space-group type = I4/mmm
&SYSTEM
  ibrav = 0, nat = 11, ntyp = 4
/
ATOMIC_SPECIES
Tb 158.93 Tb.upf
Nd 144.24 Nd.upf
Sn 118.71 Sn.upf
O 16.00 O.upf
CELL_PARAMETERS angstrom
-0.730 -1.093 4.502
2.070 -4.154 -0.673
10.630 7.755 1.163
ATOMIC_POSITIONS angstrom
Tb 10.483 2.213 2.237
Tb 9.084 3.744 4.824
Tb 2.887 -1.236 0.168
Tb 1.487 0.294 2.755
Nd 6.896 3.132 1.878
Nd 5.074 -0.624 3.114
Sn 0.000 0.000 0.000
Sn 3.958 1.797 1.078
Sn 8.012 0.710 3.914
O 9.173 4.165 2.498
O 2.797 -1.658 2.494

***

! Tb2Nd4Sn3O2 (PBE-GGA, optimized geometry); values from VASP
! - density (g/cm3) = 7.22
! - formation energy from raw total energies (eV per atom) = -1.461
! - final energy (eV/cell) = -66.3
! - space-group type = I4/mmm
&SYSTEM
  ibrav = 0, nat = 11, ntyp = 4
/
ATOMIC_SPECIES
Tb 158.93 Tb.upf
Nd 144.24 Nd.upf
Sn 118.71 Sn.upf
O 16.00 O.upf
CELL_PARAMETERS angstrom
4.806 0.000 0.000
0.000 4.806 0.000
-2.403 -2.403 12.769
ATOMIC_POSITIONS angstrom
Tb 0.000 0.000 7.804
Tb 2.403 2.403 4.965
Nd 0.000 2.403 10.633
Nd 2.403 0.000 10.633
Nd 0.000 2.403 2.136
Nd 2.403 0.000 2.136
Sn 0.000 0.000 0.000
Sn 0.000 0.000 4.594
Sn 2.403 2.403 8.174
O 0.000 0.000 10.070
O 2.403 2.403 2.699

***

! NdSnTe2O (PBE-GGA, optimized geometry); values from VASP
! - density (g/cm3) = 6.19
! - formation energy from raw total energies (eV per atom) = -1.500
! - final energy (eV/cell) = -55.0
! - space-group type = P4/nmm
&SYSTEM
  ibrav = 0, nat = 10, ntyp = 4
/
ATOMIC_SPECIES
Nd 144.24 Nd.upf
Sn 118.71 Sn.upf
Te 127.60 Te.upf
O 16.00 O.upf
CELL_PARAMETERS angstrom
-3.311 1.086 2.231
-2.277 -2.809 -2.011
3.995 -11.489 11.523
ATOMIC_POSITIONS angstrom
Nd 0.618 -5.997 7.675
Nd 0.582 -6.353 3.958
Sn -1.035 -1.240 2.904
Sn 2.236 -11.110 8.729
Te 1.568 -9.188 6.801
Te -0.728 -2.585 0.178
Te 1.929 -9.765 11.455
Te -0.367 -3.162 4.832
O 1.997 -5.744 5.762
O -0.796 -6.606 5.871